## NaNdTm2 (PBE)

Data for a relaxed NaNdTm2 crystal.

a b c (Å): 3.512 3.512 12.818
angles (deg): 82.13 82.13 60.00
Atoms (fractional coordinates):
Tm 0.092 0.092 0.725
Nd 0.500 0.500 0.500
Tm 0.908 0.908 0.275
Na 0.000 0.000 0.000

Computed properties:
ΔE to the lowest computed polymorph = 32.7 meV per atom
ρ = 6.2 g/cm³
E = -3.56 eV per atom
calculated volume = 135 Å³ per cell